#i
Computed, not measured: crystalline Tb12Sm6Mg at its relaxed geometry at the GGA-PBE level of DFT.

```
Tb12Sm6Mg
1.0
8.547 0.415 -1.428
-1.752 8.376 -1.428
0.321 0.415 8.660
Sm Tb Mg
6 12 1
Cartesian
3.292 1.349 0.397
0.484 3.525 0.387
1.041 1.357 3.144
3.825 7.857 5.406
6.632 5.680 5.416
6.075 7.849 2.659
2.205 7.314 1.798
6.523 3.976 1.798
4.912 1.891 4.005
-1.204 6.290 1.215
4.641 8.786 -0.212
3.074 3.976 6.028
4.043 5.230 -0.225
8.320 2.916 4.588
5.848 2.501 -1.423
2.476 0.420 6.015
1.268 6.704 7.226
0.593 5.230 4.005
0.000 0.000 0.000
```

=====

#ii
Computed, not measured: crystalline Tb12Sm6Mg at its relaxed geometry at the GGA-PBE level of DFT.

```
Tb12Sm6Mg
1.0
8.469 0.695 0.832
-0.597 8.477 0.832
-0.597 -0.696 8.489
Sm Tb Mg
6 12 1
Cartesian
5.533 7.978 3.904
5.726 2.640 1.606
0.228 5.828 2.885
7.047 2.648 7.269
1.742 0.498 6.249
1.549 5.835 8.547
4.375 1.943 4.574
5.917 5.290 9.571
2.900 6.532 5.579
3.833 3.522 7.424
-0.202 1.343 3.239
4.332 8.229 8.254
1.258 3.675 5.362
3.442 4.954 2.730
6.017 4.800 4.792
1.358 3.186 0.583
2.943 0.247 1.900
7.477 7.133 6.915
0.000 0.000 0.000
```

=====

#ii takes first place; second place is 6 meV per atom up.

=====

#i
Computed, not measured: crystalline Tb2Sm5Mg5 at its relaxed geometry at the GGA-PBE level of DFT.

```
Tb2Sm5Mg5
1.0
-0.170 -3.108 1.619
7.813 1.740 0.356
-12.785 5.894 9.975
Sm Tb Mg
5 2 5
Cartesian
-7.492 5.656 10.072
-4.854 4.183 7.520
-0.287 0.343 4.430
2.351 -1.131 1.878
-6.477 1.393 5.797
-10.350 4.866 8.256
5.209 -0.341 3.694
-1.849 1.959 7.369
0.000 0.000 0.000
-7.866 2.780 8.313
2.724 1.746 3.637
-3.293 2.566 4.581
```

=====

#ii
Computed, not measured: crystalline Tb2Sm5Mg5 at its relaxed geometry at the GGA-PBE level of DFT.

```
Tb2Sm5Mg5
1.0
-0.705 1.282 -3.384
-8.576 -1.517 -0.796
-5.862 9.849 2.943
Mg Sm Tb
5 5 2
Cartesian
-3.789 3.473 -1.912
0.000 0.000 0.000
-10.752 4.707 -2.002
-11.355 6.141 0.674
-4.391 4.906 0.764
-9.261 1.647 -1.464
-3.055 0.212 -1.292
-7.572 4.807 -0.619
-5.882 7.967 0.226
-12.089 9.402 0.054
-9.157 7.890 -1.129
-5.987 1.723 -0.109
```

=====

#ii takes first place; second place is 119 meV per atom up.

=====

#i
Computed, not measured: crystalline Tb4Sm5Mg at its relaxed geometry at the GGA-PBE level of DFT.

```
Tb4Sm5Mg
1.0
5.858 0.000 0.000
2.929 7.517 0.000
2.929 0.000 7.517
Sm Tb Mg
5 4 1
Cartesian
8.501 2.799 7.516
3.902 0.000 0.000
5.572 7.516 4.718
2.643 4.718 0.002
5.572 0.002 2.799
5.635 2.418 5.101
2.706 2.416 2.418
8.564 5.101 5.100
5.635 5.100 2.416
1.121 0.000 0.000
```

=====

#ii
Computed, not measured: crystalline Tb4Sm5Mg at its relaxed geometry at the GGA-PBE level of DFT.

```
Tb4Sm5Mg
1.0
4.138 0.000 0.000
0.000 4.138 0.000
0.000 0.000 18.834
Mg Tb Sm
1 4 5
Cartesian
0.000 0.000 0.000
0.000 0.000 7.541
0.000 0.000 15.018
0.000 0.000 11.293
0.000 0.000 3.816
2.069 2.069 17.033
2.069 2.069 5.688
2.069 2.069 9.417
2.069 2.069 1.801
2.069 2.069 13.146
```

=====

#ii takes first place; second place is 113 meV per atom up.

=====

#i
Computed, not measured: crystalline Tb2Sm8Mg at its relaxed geometry at the GGA-PBE level of DFT.

```
Tb2Sm8Mg
1.0
5.960 0.464 0.386
0.868 8.174 -0.565
0.868 0.939 8.140
Sm Tb Mg
8 2 1
Cartesian
2.455 3.967 3.297
5.397 2.112 5.583
2.299 7.465 2.377
5.242 5.610 4.663
5.397 5.875 1.055
1.834 6.691 5.561
2.299 3.701 6.905
5.862 2.886 2.399
4.438 8.112 6.742
3.258 1.465 1.218
0.000 0.000 0.000
```

=====

#ii
Computed, not measured: crystalline Tb2Sm8Mg at its relaxed geometry at the GGA-PBE level of DFT.

```
Tb2Sm8Mg
1.0
-2.576 4.456 2.184
-2.388 2.084 -7.068
-4.589 -7.865 3.476
Sm Mg Tb
8 1 2
Cartesian
-7.072 0.288 -1.770
-3.868 1.573 -0.615
-1.748 1.526 -5.174
-2.481 -1.612 0.363
-5.685 -2.898 -0.793
-4.914 2.486 -3.710
-4.639 -3.811 2.303
-7.805 -2.850 3.766
-1.288 2.228 1.092
-3.951 -0.749 -3.131
-5.602 -0.576 1.723
```

=====

#ii takes first place; second place is 285 meV per atom up.

=====

#i
Computed, not measured: crystalline Tb3Sm2Mg at its relaxed geometry at the GGA-PBE level of DFT.

```
Tb3Sm2Mg
1.0
4.994 0.000 0.000
0.000 4.697 -1.588
0.000 0.073 7.955
Mg Tb Sm
1 3 2
Cartesian
0.000 0.000 0.000
2.497 2.348 -0.794
2.497 3.955 3.956
2.497 0.815 2.411
0.000 3.147 1.567
0.000 1.623 4.800
```

=====

#ii
Computed, not measured: crystalline Tb3Sm2Mg at its relaxed geometry at the GGA-PBE level of DFT.

```
Tb3Sm2Mg
1.0
-3.091 -0.222 1.179
-3.042 -6.667 -9.232
4.339 -0.683 6.588
Sm Tb Mg
2 3 1
Cartesian
-1.827 -6.373 -5.990
-1.451 -4.450 0.022
-2.630 -4.762 -3.129
0.872 -2.730 1.774
-0.035 -0.078 -0.108
-2.323 -1.815 -1.771
```

=====

#i takes first place; second place is 374 meV per atom up.

=====

#i
Computed, not measured: crystalline Tb2SmMg2 at its relaxed geometry at the GGA-PBE level of DFT.

```
Tb2SmMg2
1.0
-1.882 -2.705 -3.295
4.177 -1.894 -0.831
-3.796 -7.866 11.921
Mg Tb Sm
4 4 2
Cartesian
-2.266 -6.435 3.281
-1.108 -10.954 6.329
-0.394 -1.511 1.466
0.764 -6.030 4.514
-0.575 -8.909 4.346
-0.941 -1.353 -1.648
-0.927 -3.557 3.449
2.088 -0.947 -0.415
0.498 -4.789 0.351
-2.000 -7.676 7.444
```

=====

#ii
Computed, not measured: crystalline Tb2SmMg2 at its relaxed geometry at the GGA-PBE level of DFT.

```
Tb2SmMg2
1.0
3.724 0.000 -0.499
0.000 5.491 0.000
-0.004 0.000 14.131
Tb Sm Mg
4 2 4
Cartesian
0.164 4.118 1.222
3.556 1.373 12.409
2.840 1.373 7.046
0.879 4.118 6.586
0.560 1.373 4.188
3.159 4.118 9.443
1.341 1.373 10.001
2.060 1.373 1.216
1.660 4.118 12.416
2.378 4.118 3.631
```

=====

#ii takes first place; second place is 352 meV per atom up.

=====

#i
Computed, not measured: crystalline Tb2Sm2Mg at its relaxed geometry at the GGA-PBE level of DFT.

```
Tb2Sm2Mg
1.0
4.408 0.000 0.000
0.000 4.408 0.000
-2.204 -2.204 8.732
Tb Sm Mg
2 2 1
Cartesian
0.000 2.204 4.366
2.204 0.000 4.366
2.204 2.204 1.611
0.000 0.000 7.120
0.000 0.000 0.000
```

=====

#ii
Computed, not measured: crystalline Tb2Sm2Mg at its relaxed geometry at the GGA-PBE level of DFT.

```
Tb2Sm2Mg
1.0
3.568 0.000 -0.572
-0.092 3.567 -0.572
0.123 0.126 12.170
Tb Mg Sm
2 1 2
Cartesian
2.864 2.939 6.448
0.734 0.754 4.577
0.000 0.000 0.000
2.085 2.139 1.587
1.514 1.554 9.438
```

=====

#ii takes first place; second place is 395 meV per atom up.

=====

#i
Computed, not measured: crystalline TbSmMg at its relaxed geometry at the GGA-PBE level of DFT.

```
TbSmMg
1.0
-3.603 -0.791 -0.029
0.283 -1.159 -3.491
2.979 -5.113 3.888
Tb Mg Sm
1 1 1
Cartesian
0.023 -0.107 0.037
-1.225 -2.984 -1.058
0.861 -3.972 1.389
```

=====

#ii
Computed, not measured: crystalline TbSmMg at its relaxed geometry at the GGA-PBE level of DFT.

```
TbSmMg
1.0
3.421 0.000 0.000
0.000 5.485 0.000
0.000 -2.742 4.750
Mg Tb Sm
1 1 1
Cartesian
2.304 2.742 1.583
3.240 0.000 0.000
1.298 0.000 3.167
```

=====

#i takes first place; second place is 82 meV per atom up.